! TiMn2Fe3P6O24 | Alexandria | GGA+U | optimized geometry; values from VASP
! space-group type	No. 146
! final energy	-7.334	eV/atom
! mass density	3.32	g/cm³
&SYSTEM
  ibrav = 0, nat = 36, ntyp = 5
/
ATOMIC_SPECIES
O 16.00 O.upf
P 30.97 P.upf
Ti 47.87 Ti.upf
Fe 55.84 Fe.upf
Mn 54.94 Mn.upf
CELL_PARAMETERS angstrom
-1.483 0.787 -8.359
-7.139 -3.318 -3.273
-6.180 5.248 -2.637
ATOMIC_POSITIONS crystal
O 0.883 0.689 0.486
O 0.762 0.403 0.560
O 0.013 0.177 0.388
O 0.995 0.826 0.604
O 0.689 0.486 0.883
O 0.388 0.013 0.177
O 0.604 0.995 0.826
O 0.238 0.597 0.434
O 0.087 0.749 0.945
O 0.597 0.434 0.238
O 0.560 0.762 0.403
O 0.113 0.318 0.509
O 0.509 0.113 0.318
O 0.177 0.388 0.013
O 0.403 0.560 0.762
O 0.434 0.238 0.597
O 0.486 0.883 0.689
O 0.318 0.509 0.113
O 0.249 0.057 0.916
O 0.945 0.087 0.749
O 0.826 0.604 0.995
O 0.749 0.945 0.087
O 0.057 0.916 0.249
O 0.916 0.249 0.057
P 0.040 0.752 0.451
P 0.250 0.551 0.959
P 0.451 0.040 0.752
P 0.752 0.451 0.040
P 0.551 0.959 0.250
P 0.959 0.250 0.551
Ti 0.148 0.148 0.148
Fe 0.357 0.357 0.357
Fe 0.643 0.643 0.643
Fe 0.853 0.853 0.853
Mn 0.499 0.499 0.499
Mn 0.000 0.000 0.000